(1)
The following is a PBE-GGA calculation of an optimized crystal structure of LiYZr, from the Alexandria database.

a b c (Å): 5.091 5.351 10.823
angles (deg): 90.00 90.00 90.00
Fractional positions:
Li (0.249, 0.250, 0.175)
Li (0.251, 0.750, 0.675)
Li (0.749, 0.250, 0.325)
Li (0.751, 0.750, 0.825)
Y (0.250, 0.250, 0.497)
Y (0.250, 0.750, 0.997)
Y (0.750, 0.250, 0.003)
Y (0.750, 0.750, 0.503)
Zr (0.249, 0.250, 0.798)
Zr (0.251, 0.750, 0.298)
Zr (0.749, 0.250, 0.702)
Zr (0.751, 0.750, 0.202)

Calculated values
Space group = Pnma (62)
DOS(E_F) = 1.12 states/eV per atom
VASP energy = -65.24 eV per cell
Energy above the most stable polymorph in this dataset = 138 meV per atom


(2)
The following is a PBE-GGA calculation of an optimized crystal structure of Y4In3Ir, from the Alexandria database.

a b c (Å): 3.572 3.572 15.713
angles (deg): 90.00 90.00 90.00
Fractional positions:
Y (0.000, 0.000, 0.103)
Y (0.000, 0.000, 0.368)
Y (0.000, 0.000, 0.632)
Y (0.000, 0.000, 0.897)
In (0.500, 0.500, 0.239)
In (0.500, 0.500, 0.500)
In (0.500, 0.500, 0.761)
Ir (0.500, 0.500, 0.000)

Calculated values
Space group = P4/mmm (123)
DOS(E_F) = 0.53 states/eV per atom
VASP energy = -47.61 eV per cell


(3)
The following is a PBE-GGA calculation of an optimized crystal structure of Cr2PbCl, from the Alexandria database.

a b c (Å): 8.042 8.042 8.042
angles (deg): 25.62 25.62 25.62
Fractional positions:
Cr (0.245, 0.245, 0.245)
Cr (0.755, 0.755, 0.755)
Pb (0.000, 0.000, 0.000)
Cl (0.500, 0.500, 0.500)

Calculated values
Space group = R-3m (166)
DOS(E_F) = 0.54 states/eV per atom
VASP energy = -23.52 eV per cell
Uncorrected formation energy = 0.32 eV/atom
Energy above the most stable polymorph in this dataset = 255 meV per atom


The highest VASP energy belongs to which entry?
Cr2PbCl


The lowest DOS(E_F) belongs to which entry?
Y4In3Ir


Repeat the second record exactly.
The following is a PBE-GGA calculation of an optimized crystal structure of Y4In3Ir, from the Alexandria database.

a b c (Å): 3.572 3.572 15.713
angles (deg): 90.00 90.00 90.00
Fractional positions:
Y (0.000, 0.000, 0.103)
Y (0.000, 0.000, 0.368)
Y (0.000, 0.000, 0.632)
Y (0.000, 0.000, 0.897)
In (0.500, 0.500, 0.239)
In (0.500, 0.500, 0.500)
In (0.500, 0.500, 0.761)
Ir (0.500, 0.500, 0.000)

Calculated values
Space group = P4/mmm (123)
DOS(E_F) = 0.53 states/eV per atom
VASP energy = -47.61 eV per cell